Re4RuPt after structural relaxation, computed with GGA-PBE.

Results
- Formation energy from the elements: 0.43 eV/atom

CIF file:
```
data_Re4RuPt
_space_group_name_H-M_alt 'F -4 3 m'
_space_group_IT_number 216
_space_group_name_Hall 'F -4 2 3'
_cell_length_a 7.2471
_cell_length_b 7.2471
_cell_length_c 7.2471
_cell_angle_alpha 90.00
_cell_angle_beta 90.00
_cell_angle_gamma 90.00
loop_
_atom_site_label
_atom_site_type_symbol
_atom_site_fract_x
_atom_site_fract_y
_atom_site_fract_z
Re1 Re 0.1244 0.1244 0.3756
Ru1 Ru 0.0000 0.0000 0.0000
Pt1 Pt 0.2500 0.2500 0.7500
```